First-principles (PBE) data for a geometry-optimized Ho2TmS2 structure, as listed in Alexandria.

Calculated values
Electronic total energy   -5.93 eV/atom

Unit cell a=3.7741 b=3.7741 c=9.7276 alpha=78.78 beta=78.78 gamma=59.99
Closest atoms and distances in Å follow each position.
Fractional coordinates of all 5 atoms:
Ho (0.7840, 0.7840, 0.6478)  3 S 2.79
Ho (0.2160, 0.2160, 0.3522)  3 S 2.79
Tm (0.0000, 0.0000, 0.0000)  6 S 2.70
S (0.3896, 0.3896, 0.8314)  3 Tm 2.70, 3 Ho 2.79
S (0.6104, 0.6104, 0.1686)  3 Tm 2.70, 3 Ho 2.79



First-principles (PBE) data for a geometry-optimized Ho2Tm6S3 structure, as listed in Alexandria.

Calculated values
Electronic total energy   -5.41 eV/atom

Unit cell a=3.6784 b=3.6784 c=24.1979 alpha=85.64 beta=85.64 gamma=60.00
Closest atoms and distances in Å follow each position.
Fractional coordinates of all 11 atoms:
Ho (0.4419, 0.4419, 0.6744)  6 Tm 3.54-3.55, 6 Ho 3.68
Ho (0.5581, 0.5581, 0.3256)  6 Tm 3.54-3.55, 6 Ho 3.68
Tm (0.0692, 0.0692, 0.7923)  3 S 2.72
Tm (0.9308, 0.9308, 0.2077)  3 S 2.72
Tm (0.1857, 0.1857, 0.4429)  9 Tm 3.48-3.68, 3 Ho 3.54
Tm (0.8143, 0.8143, 0.5571)  9 Tm 3.48-3.68, 3 Ho 3.54
Tm (0.3568, 0.3568, 0.9297)  6 S 2.66-2.72
Tm (0.6432, 0.6432, 0.0703)  6 S 2.66-2.72
S (0.0000, 0.0000, 0.0000)  6 Tm 2.72
S (0.2877, 0.2877, 0.1370)  6 Tm 2.66-2.72
S (0.7123, 0.7123, 0.8630)  6 Tm 2.66-2.72



First-principles (PBE) data for a geometry-optimized Ho3Tm5S12 structure, as listed in Alexandria.

Calculated values
Electronic total energy   -6.14 eV/atom

Unit cell a=13.7804 b=13.7804 c=13.7804 alpha=109.47 beta=109.47 gamma=109.47
Closest atoms and distances in Å follow each position.
Fractional coordinates of all 80 atoms:
Ho (0.7500, 0.3750, 0.1250)  8 S 2.91-3.02
Ho (0.8750, 0.7500, 0.1250)  8 S 2.91-3.02
Ho (0.3750, 0.7500, 0.6250)  8 S 2.91-3.02
Ho (0.2500, 0.1250, 0.3750)  8 S 2.91-3.02
Ho (0.8750, 0.1250, 0.2500)  8 S 2.91-3.02
Ho (0.3750, 0.6250, 0.2500)  8 S 2.91-3.02
Ho (0.6250, 0.3750, 0.7500)  8 S 2.91-3.02
Ho (0.1250, 0.8750, 0.7500)  8 S 2.91-3.02
Ho (0.7500, 0.8750, 0.6250)  8 S 2.91-3.02
Ho (0.6250, 0.2500, 0.3750)  8 S 2.91-3.02
Ho (0.1250, 0.2500, 0.8750)  8 S 2.91-3.02
Ho (0.2500, 0.6250, 0.8750)  8 S 2.91-3.02
Tm (0.1250, 0.3750, 0.2500)  4 S 2.52
Tm (0.0000, 0.5000, 0.0000)  6 S 2.70
Tm (0.0000, 0.0000, 0.0000)  6 S 2.70
Tm (0.3750, 0.2500, 0.1250)  4 S 2.52
Tm (0.5000, 0.0000, 0.5000)  6 S 2.70
Tm (0.5000, 0.5000, 0.0000)  6 S 2.70
Tm (0.1250, 0.7500, 0.3750)  4 S 2.52
Tm (0.7500, 0.1250, 0.8750)  4 S 2.52
Tm (0.7500, 0.6250, 0.3750)  4 S 2.52
Tm (0.3750, 0.1250, 0.7500)  4 S 2.52
Tm (0.6250, 0.8750, 0.2500)  4 S 2.52
Tm (0.5000, 0.5000, 0.5000)  6 S 2.70
Tm (0.5000, 0.0000, 0.0000)  6 S 2.70
Tm (0.0000, 0.0000, 0.5000)  6 S 2.70
Tm (0.2500, 0.3750, 0.6250)  4 S 2.52
Tm (0.2500, 0.8750, 0.1250)  4 S 2.52
Tm (0.0000, 0.5000, 0.5000)  6 S 2.70
Tm (0.8750, 0.2500, 0.6250)  4 S 2.52
Tm (0.6250, 0.7500, 0.8750)  4 S 2.52
Tm (0.8750, 0.6250, 0.7500)  4 S 2.52
S (0.7229, 0.1306, 0.0483)  2 Tm 2.52-2.70
S (0.3254, 0.5483, 0.4177)  2 Tm 2.52-2.70
S (0.9517, 0.3694, 0.2771)  2 Tm 2.52-2.70
S (0.5483, 0.2229, 0.1306)  2 Tm 2.52-2.70
S (0.5923, 0.7229, 0.6746)  2 Tm 2.52-2.70
S (0.9517, 0.5823, 0.1746)  2 Tm 2.52-2.70
S (0.3254, 0.7771, 0.4077)  2 Tm 2.52-2.70
S (0.0823, 0.9077, 0.1306)  2 Tm 2.52-2.70
S (0.5823, 0.9517, 0.6746)  2 Tm 2.52-2.70
S (0.7229, 0.5923, 0.1746)  2 Tm 2.52-2.70
S (0.7771, 0.4517, 0.3694)  2 Tm 2.52-2.70
S (0.8254, 0.9177, 0.0483)  2 Tm 2.52-2.70
S (0.1306, 0.7229, 0.5483)  2 Tm 2.52-2.70
S (0.3694, 0.4177, 0.0923)  2 Tm 2.52-2.70
S (0.0923, 0.9177, 0.3694)  2 Tm 2.52-2.70
S (0.4077, 0.1306, 0.5823)  2 Tm 2.52-2.70
S (0.0923, 0.1746, 0.2229)  2 Tm 2.52-2.70
S (0.4517, 0.6746, 0.0823)  2 Tm 2.52-2.70
S (0.8254, 0.9077, 0.2771)  2 Tm 2.52-2.70
S (0.1306, 0.4077, 0.0823)  2 Tm 2.52-2.70
S (0.3694, 0.9517, 0.7771)  2 Tm 2.52-2.70
S (0.5823, 0.6306, 0.4077)  2 Tm 2.52-2.70
S (0.9177, 0.8254, 0.5483)  2 Tm 2.52-2.70
S (0.7771, 0.3254, 0.9077)  2 Tm 2.52-2.70
S (0.4177, 0.3694, 0.5923)  2 Tm 2.52-2.70
S (0.0823, 0.1746, 0.4517)  2 Tm 2.52-2.70
S (0.2229, 0.6746, 0.0923)  2 Tm 2.52-2.70
S (0.1746, 0.0923, 0.7229)  2 Tm 2.52-2.70
S (0.6306, 0.0483, 0.2229)  2 Tm 2.52-2.70
S (0.8694, 0.5923, 0.9177)  2 Tm 2.52-2.70
S (0.5483, 0.3254, 0.9177)  2 Tm 2.52-2.70
S (0.5923, 0.8694, 0.4177)  2 Tm 2.52-2.70
S (0.9077, 0.8254, 0.7771)  2 Tm 2.52-2.70
S (0.9077, 0.0823, 0.6306)  2 Tm 2.52-2.70
S (0.8694, 0.2771, 0.4517)  2 Tm 2.52-2.70
S (0.1746, 0.0823, 0.9517)  2 Tm 2.52-2.70
S (0.6306, 0.5823, 0.9077)  2 Tm 2.52-2.70
S (0.4177, 0.0483, 0.3254)  2 Tm 2.52-2.70
S (0.2771, 0.4077, 0.8254)  2 Tm 2.52-2.70
S (0.2229, 0.5483, 0.6306)  2 Tm 2.52-2.70
S (0.9177, 0.0923, 0.8694)  2 Tm 2.52-2.70
S (0.6746, 0.2229, 0.5923)  2 Tm 2.52-2.70
S (0.4517, 0.7771, 0.8694)  2 Tm 2.52-2.70
S (0.0483, 0.4177, 0.8254)  2 Tm 2.52-2.70
S (0.4077, 0.2771, 0.3254)  2 Tm 2.52-2.70
S (0.0483, 0.6306, 0.7229)  2 Tm 2.52-2.70
S (0.6746, 0.4517, 0.5823)  2 Tm 2.52-2.70
S (0.2771, 0.8694, 0.9517)  2 Tm 2.52-2.70



First-principles (PBE) data for a geometry-optimized HoTm2S structure, as listed in Alexandria.

Calculated values
Electronic total energy   -5.35 eV/atom
Distance to the lowest polymorph of the same formula   0 meV/atom

Unit cell a=3.6670 b=3.6670 c=9.3204 alpha=90.02 beta=101.32 gamma=120.00
Closest atoms and distances in Å follow each position.
Fractional coordinates of all 4 atoms:
Ho (0.6657, 0.8328, 0.4985)  6 Tm 3.54-3.57, 6 Ho 3.67
Tm (0.7906, 0.3953, 0.1859)  3 S 2.71
Tm (0.2104, 0.6050, 0.8154)  3 S 2.70
S (0.0001, 0.0000, 0.0001)  6 Tm 2.70-2.71



First-principles (PBE) data for a geometry-optimized Ho3Tm2S6 structure, as listed in Alexandria.

Calculated values
Electronic total energy   -6.37 eV/atom

Unit cell a=6.7043 b=6.6848 c=6.6623 alpha=80.35 beta=70.48 gamma=59.90
Closest atoms and distances in Å follow each position.
Fractional coordinates of all 11 atoms:
Ho (0.0000, 0.0000, 0.0000)  6 S 2.74-2.76
Ho (0.3372, 0.3257, 0.0000)  6 S 2.72-2.76
Ho (0.6628, 0.6743, 0.0000)  6 S 2.72-2.76
Tm (0.1656, 0.6689, 0.5000)  6 S 2.69-2.72
Tm (0.8344, 0.3311, 0.5000)  6 S 2.69-2.72
S (0.4175, 0.6656, 0.7478)  2 Tm 2.72, 3 Ho 2.74-2.76
S (0.7515, 0.0000, 0.7425)  2 Tm 2.69, 3 Ho 2.72-2.76
S (0.0831, 0.3344, 0.7478)  2 Tm 2.72, 3 Ho 2.74-2.76
S (0.2485, 0.0000, 0.2575)  2 Tm 2.69, 3 Ho 2.72-2.76
S (0.5825, 0.3344, 0.2522)  2 Tm 2.72, 3 Ho 2.74-2.76
S (0.9169, 0.6656, 0.2522)  2 Tm 2.72, 3 Ho 2.74-2.76



First-principles (PBE) data for a geometry-optimized HoTm6S8 structure, as listed in Alexandria.

Calculated values
Electronic total energy   -6.31 eV/atom

Unit cell a=7.6746 b=7.6746 c=7.6746 alpha=60.00 beta=60.00 gamma=60.00
Closest atoms and distances in Å follow each position.
Fractional coordinates of all 15 atoms:
Ho (0.0000, 0.0000, 0.0000)  6 S 2.75
Tm (0.0000, 0.5000, 0.5000)  6 S 2.71
Tm (0.5000, 0.0000, 0.0000)  6 S 2.71
Tm (0.5000, 0.5000, 0.0000)  6 S 2.71
Tm (0.0000, 0.0000, 0.5000)  6 S 2.71
Tm (0.0000, 0.5000, 0.0000)  6 S 2.71
Tm (0.5000, 0.0000, 0.5000)  6 S 2.71
S (0.7500, 0.7500, 0.7500)  6 Tm 2.71
S (0.2500, 0.2500, 0.2500)  6 Tm 2.71
S (0.7471, 0.2529, 0.2529)  4 Tm 2.71, 1 Ho 2.75
S (0.2529, 0.7471, 0.7471)  4 Tm 2.71, 1 Ho 2.75
S (0.2529, 0.2529, 0.7471)  4 Tm 2.71, 1 Ho 2.75
S (0.7471, 0.7471, 0.2529)  4 Tm 2.71, 1 Ho 2.75
S (0.7471, 0.2529, 0.7471)  4 Tm 2.71, 1 Ho 2.75
S (0.2529, 0.7471, 0.2529)  4 Tm 2.71, 1 Ho 2.75



First-principles (PBE) data for a geometry-optimized Ho3TmS6 structure, as listed in Alexandria.

Calculated values
Electronic total energy   -6.36 eV/atom

Unit cell a=7.9757 b=7.9757 c=7.9757 alpha=91.11 beta=91.11 gamma=91.11
Closest atoms and distances in Å follow each position.
Fractional coordinates of all 20 atoms:
Ho (0.4321, 0.9230, 0.7526)  6 S 2.70-2.81
Ho (0.9230, 0.7526, 0.4321)  6 S 2.70-2.81
Ho (0.2474, 0.5679, 0.0770)  6 S 2.70-2.81
Ho (0.7526, 0.4321, 0.9230)  6 S 2.70-2.81
Ho (0.0770, 0.2474, 0.5679)  6 S 2.70-2.81
Ho (0.5679, 0.0770, 0.2474)  6 S 2.70-2.81
Tm (0.0000, 0.0000, 0.0000)  6 S 2.69
Tm (0.5000, 0.5000, 0.5000)  6 S 2.65
S (0.3144, 0.9102, 0.0816)  1 Tm 2.69, 3 Ho 2.71-2.81
S (0.0898, 0.9184, 0.6856)  1 Tm 2.69, 3 Ho 2.71-2.81
S (0.5936, 0.8178, 0.4630)  1 Tm 2.65, 3 Ho 2.70-2.79
S (0.9184, 0.6856, 0.0898)  1 Tm 2.69, 3 Ho 2.71-2.81
S (0.4630, 0.5936, 0.8178)  1 Tm 2.65, 3 Ho 2.70-2.79
S (0.1822, 0.5370, 0.4064)  1 Tm 2.65, 3 Ho 2.70-2.79
S (0.8178, 0.4630, 0.5936)  1 Tm 2.65, 3 Ho 2.70-2.79
S (0.5370, 0.4064, 0.1822)  1 Tm 2.65, 3 Ho 2.70-2.79
S (0.0816, 0.3144, 0.9102)  1 Tm 2.69, 3 Ho 2.71-2.81
S (0.4064, 0.1822, 0.5370)  1 Tm 2.65, 3 Ho 2.70-2.79
S (0.9102, 0.0816, 0.3144)  1 Tm 2.69, 3 Ho 2.71-2.81
S (0.6856, 0.0898, 0.9184)  1 Tm 2.69, 3 Ho 2.71-2.81



First-principles (PBE) data for a geometry-optimized Ho2Tm3S4 structure, as listed in Alexandria.

Calculated values
Electronic total energy   -6.07 eV/atom

Unit cell a=3.8103 b=3.8103 c=15.7260 alpha=90.00 beta=90.00 gamma=120.00
Closest atoms and distances in Å follow each position.
Fractional coordinates of all 9 atoms:
Ho (0.6667, 0.3333, 0.7940)  6 S 2.72-2.75
Ho (0.3333, 0.6667, 0.2060)  6 S 2.72-2.75
Tm (0.6667, 0.3333, 0.4118)  3 S 2.74
Tm (0.0000, 0.0000, 0.0000)  6 S 2.71
Tm (0.3333, 0.6667, 0.5882)  3 S 2.74
S (0.3333, 0.6667, 0.8992)  3 Tm 2.71, 3 Ho 2.75
S (0.0000, 0.0000, 0.3080)  3 Ho 2.72, 3 Tm 2.74
S (0.0000, 0.0000, 0.6920)  3 Ho 2.72, 3 Tm 2.74
S (0.6667, 0.3333, 0.1008)  3 Tm 2.71, 3 Ho 2.75



First-principles (PBE) data for a geometry-optimized Ho2Tm3S6 structure, as listed in Alexandria.

Calculated values
Electronic total energy   -6.36 eV/atom

Unit cell a=6.6901 b=6.6695 c=6.6655 alpha=80.37 beta=70.52 gamma=59.90
Closest atoms and distances in Å follow each position.
Fractional coordinates of all 11 atoms:
Ho (0.1653, 0.6694, 0.5000)  6 S 2.72-2.75
Ho (0.8347, 0.3306, 0.5000)  6 S 2.72-2.75
Tm (0.0000, 0.0000, 0.0000)  6 S 2.71-2.74
Tm (0.3366, 0.3268, 0.0000)  6 S 2.69-2.74
Tm (0.6634, 0.6732, 0.0000)  6 S 2.69-2.74
S (0.4155, 0.6672, 0.7539)  3 Tm 2.71-2.74, 2 Ho 2.74-2.75
S (0.7478, 0.0000, 0.7490)  3 Tm 2.69-2.74, 2 Ho 2.72
S (0.0826, 0.3328, 0.7539)  3 Tm 2.71-2.74, 2 Ho 2.74-2.75
S (0.2522, 0.0000, 0.2510)  3 Tm 2.69-2.74, 2 Ho 2.72
S (0.5845, 0.3328, 0.2461)  3 Tm 2.71-2.74, 2 Ho 2.74-2.75
S (0.9174, 0.6672, 0.2461)  3 Tm 2.71-2.74, 2 Ho 2.74-2.75



First-principles (PBE) data for a geometry-optimized Ho3TmS structure, as listed in Alexandria.

Calculated values
Electronic total energy   -5.10 eV/atom

Unit cell a=5.2564 b=5.2564 c=5.2564 alpha=90.00 beta=90.00 gamma=90.00
Closest atoms and distances in Å follow each position.
Fractional coordinates of all 5 atoms:
S (0.0000, 0.0000, 0.0000)  6 Ho 2.63
Tm (0.5000, 0.5000, 0.5000)  12 Ho 3.72
Ho (0.0000, 0.5000, 0.0000)  2 S 2.63
Ho (0.0000, 0.0000, 0.5000)  2 S 2.63
Ho (0.5000, 0.0000, 0.0000)  2 S 2.63



First-principles (PBE) data for a geometry-optimized Ho3TmS4 structure, as listed in Alexandria.

Calculated values
Electronic total energy   -6.30 eV/atom
Distance to the lowest polymorph of the same formula   0 meV/atom

Unit cell a=3.8401 b=6.7284 c=6.7284 alpha=109.08 beta=90.00 gamma=90.00
Closest atoms and distances in Å follow each position.
Fractional coordinates of all 8 atoms:
S (0.0000, 0.2472, 0.2472)  2 Tm 2.72, 4 Ho 2.74-2.75
S (0.5000, 0.7514, 0.2486)  1 Tm 2.73, 5 Ho 2.74-2.76
S (0.0000, 0.7528, 0.7528)  2 Tm 2.72, 4 Ho 2.74-2.75
S (0.5000, 0.2486, 0.7514)  1 Tm 2.73, 5 Ho 2.74-2.76
Tm (0.5000, 0.0000, 0.0000)  6 S 2.72-2.73
Ho (0.0000, 0.0000, 0.5000)  6 S 2.74
Ho (0.5000, 0.5000, 0.5000)  6 S 2.75-2.76
Ho (0.0000, 0.5000, 0.0000)  6 S 2.74



First-principles (PBE) data for a geometry-optimized HoTm4S7 structure, as listed in Alexandria.

Calculated values
Electronic total energy   -6.34 eV/atom

Unit cell a=3.7583 b=6.6172 c=11.4989 alpha=103.84 beta=90.00 gamma=106.50
Closest atoms and distances in Å follow each position.
Fractional coordinates of all 12 atoms:
Ho (0.8881, 0.7762, 0.5789)  6 S 2.66-2.81
Tm (0.7004, 0.4008, 0.8135)  7 S 2.71-2.91
Tm (0.2999, 0.5999, 0.1868)  7 S 2.71-2.91
Tm (0.0003, 0.0007, 0.0006)  6 S 2.65-2.71
Tm (0.1119, 0.2238, 0.4208)  6 S 2.64-2.79
S (0.7402, 0.4805, 0.3516)  4 Tm 2.73-2.90, 1 Ho 2.81
S (0.2570, 0.5141, 0.6476)  2 Ho 2.75, 3 Tm 2.79-2.89
S (0.3415, 0.6831, 0.9492)  5 Tm 2.71-2.91
S (0.6592, 0.3184, 0.0511)  5 Tm 2.71-2.91
S (0.0423, 0.0846, 0.7865)  3 Tm 2.65-2.71, 1 Ho 2.68
S (0.9584, 0.9167, 0.2148)  4 Tm 2.65-2.71
S (0.5006, 0.0013, 0.4986)  2 Tm 2.64, 2 Ho 2.66



Volume readings, ordered: 116.9; 282.5; 2014.5; 105.7; 243.5; 319.6; 507.1; 197.7; 242.6; 145.2; 164.3; 265.5 Å³ per cell
ΔE_f (raw) readings, ordered: -35.88; -23.39; -42.90; -21.59; -47.43; -46.44; -47.61; -39.87; -47.42; -14.55; -45.21; -47.43 kcal/mol of atoms